The following is a DFT calculation (GGA-PBE) of a relaxed structure of Pr6Nd5Er.

extended XYZ file:
```
12
Lattice="3.195 -5.533 0.000 3.195 5.533 0.000 -2.138 0.000 12.011" Properties=species:S:1:pos:R:3 pbc="T T T"
Pr 1.054 1.836 2.983
Pr -0.010 0.000 9.024
Pr 1.054 -1.836 2.983
Pr 3.196 1.836 9.027
Pr 4.261 0.000 2.986
Pr 3.196 -1.836 9.027
Nd 2.125 3.691 6.005
Nd 3.195 1.846 0.000
Nd 2.125 0.000 6.005
Nd 3.195 -1.846 0.000
Nd 2.125 -3.691 6.005
Er 0.000 0.000 0.000
```

Properties
E_tot ... -56.9 eV/cell
Total magnetic moment ... 0.00 μB/atom
E_form ... 13 meV/atom
Space group ... C2/m, No. 12



The following is a DFT calculation (GGA-PBE) of a relaxed structure of Ni2Pt4W.

extended XYZ file:
```
7
Lattice="-2.405 2.405 6.046 2.405 -2.405 6.046 2.405 2.405 -6.046" Properties=species:S:1:pos:R:3 pbc="T T T"
Ni 0.000 0.000 1.184
Ni 0.000 0.000 10.908
Pt 2.405 0.000 0.000
Pt 0.000 0.000 3.620
Pt 0.000 2.405 0.000
Pt 0.000 0.000 8.471
W 0.000 0.000 6.046
```

Properties
Offset from the most stable computed form ... 24.83 kcal/mol of atoms
E_tot ... -41.7 eV/cell
Total magnetic moment ... 0.00 μB/atom
E_form ... 1001 meV/atom
Space group ... I4/mmm, No. 139



The following is a DFT calculation (GGA-PBE) of a relaxed structure of Ni5I3Br12.

extended XYZ file:
```
80
Lattice="-8.382 8.382 8.382 8.382 -8.382 8.382 8.382 8.382 -8.382" Properties=species:S:1:pos:R:3 pbc="T T T"
Ni 0.000 0.000 0.000
Ni 4.191 4.191 -4.191
Ni 4.191 -4.191 4.191
Ni 8.382 0.000 0.000
Ni 12.573 2.096 0.000
Ni 8.382 -4.191 6.287
Ni 6.287 8.382 -4.191
Ni 6.287 0.000 4.191
Ni 4.191 6.287 0.000
Ni 8.382 4.191 2.096
Ni -4.191 4.191 4.191
Ni 0.000 8.382 0.000
Ni 0.000 0.000 8.382
Ni 4.191 4.191 4.191
Ni 0.000 4.191 6.287
Ni 4.191 2.096 8.382
Ni 2.096 8.382 4.191
Ni 2.096 0.000 12.573
Ni 0.000 12.573 2.096
Ni -4.191 6.287 8.382
I 4.191 2.096 0.000
I 8.382 4.191 -2.096
I 2.096 0.000 4.191
I 10.478 0.000 4.191
I 0.000 4.191 2.096
I 4.191 -2.096 8.382
I 4.191 10.478 0.000
I 8.382 4.191 6.287
I -2.096 8.382 4.191
I 6.287 8.382 4.191
I 0.000 4.191 10.478
I 4.191 6.287 8.382
Br 6.693 -4.611 4.704
Br 14.262 0.513 -0.420
Br 10.884 0.513 0.420
Br 10.071 -3.771 4.704
Br 12.153 3.678 -1.689
Br 8.802 -5.880 7.869
Br 4.704 6.693 -4.611
Br 7.869 -0.420 2.502
Br 7.869 8.802 -5.880
Br 4.704 -1.689 4.611
Br 4.611 4.704 -1.689
Br 7.962 2.502 0.513
Br 12.993 3.678 1.689
Br 7.962 -2.502 7.869
Br 7.869 7.962 -2.502
Br 4.704 1.689 3.771
Br 4.704 10.071 -3.771
Br 7.869 0.420 5.880
Br 3.771 4.704 1.689
Br 8.802 5.880 0.513
Br 2.502 7.869 -0.420
Br 10.071 3.771 3.678
Br 5.880 7.869 0.420
Br 6.693 4.611 3.678
Br 1.689 3.771 4.704
Br 2.502 0.513 7.962
Br -1.689 4.611 4.704
Br 5.880 0.513 8.802
Br -0.420 2.502 7.869
Br 4.611 3.678 6.693
Br 0.513 7.962 2.502
Br 3.678 -1.689 12.153
Br 3.678 6.693 4.611
Br 0.513 0.420 10.884
Br 0.420 10.884 0.513
Br -4.611 4.704 6.693
Br 0.420 5.880 7.869
Br 3.771 3.678 10.071
Br 3.678 10.071 3.771
Br 0.513 -0.420 14.262
Br 0.513 8.802 5.880
Br 3.678 1.689 12.993
Br -0.420 14.262 0.513
Br -3.771 4.704 10.071
Br -1.689 12.153 3.678
Br -2.502 7.869 7.962
Br -5.880 7.869 8.802
Br 1.689 12.993 3.678
```

Properties
E_tot ... -212.6 eV/cell
Total magnetic moment ... 0.05 μB/atom
Space group ... Ia-3d, No. 230
Raw formation energy ... 0.024 eV per atom



The following is a DFT calculation (GGA-PBE) of a relaxed structure of Be2GeBr.

extended XYZ file:
```
8
Lattice="3.697 0.000 0.000 1.733 5.601 0.000 1.289 1.353 7.120" Properties=species:S:1:pos:R:3 pbc="T T T"
Be 0.000 0.000 0.000
Be 1.197 2.390 2.598
Be 3.076 2.375 6.331
Be 4.881 3.478 6.610
Ge 1.696 3.166 0.499
Ge 4.823 5.666 6.036
Br 2.400 5.930 2.244
Br 3.015 2.961 3.915
```

Properties
Offset from the most stable computed form ... 3.29 kcal/mol of atoms
E_tot ... -27.4 eV/cell
Total magnetic moment ... 0.00 μB/atom
Space group ... P1, No. 1
Raw formation energy ... 0.012 eV per atom



The following is a DFT calculation (GGA-PBE) of a relaxed structure of Cr3Br2.

extended XYZ file:
```
5
Lattice="1.816 1.048 9.872 -1.816 1.048 9.872 0.000 -2.097 9.872" Properties=species:S:1:pos:R:3 pbc="T T T"
Cr 0.000 0.000 0.000
Cr 0.000 0.000 6.004
Cr 0.000 0.000 23.611
Br 0.000 0.000 11.715
Br 0.000 0.000 17.900
```

Properties
Offset from the most stable computed form ... 0.20 kcal/mol of atoms
E_tot ... -29.1 eV/cell
Total magnetic moment ... 0.87 μB/atom
Space group ... R-3m, No. 166
Raw formation energy ... 0.621 eV per atom



The following is a DFT calculation (GGA-PBE) of a relaxed structure of Ba2CaTe.

extended XYZ file:
```
4
Lattice="4.162 0.000 0.000 0.000 4.162 0.000 0.000 0.000 10.654" Properties=species:S:1:pos:R:3 pbc="T T T"
Ba 0.000 0.000 0.000
Ba 2.081 2.081 3.708
Ca 0.000 0.000 6.838
Te 2.081 2.081 8.395
```

Properties
E_tot ... -11.8 eV/cell
Total magnetic moment ... 0.00 μB/atom
Space group ... P4mm, No. 99
Raw formation energy ... -0.707 eV per atom



The following is a DFT calculation (GGA-PBE) of a relaxed structure of VGaMo3.

extended XYZ file:
```
5
Lattice="4.572 0.000 0.000 0.000 4.572 0.000 0.000 0.000 4.572" Properties=species:S:1:pos:R:3 pbc="T T T"
V 0.000 0.000 0.000
Ga 2.286 2.286 2.286
Mo 0.000 2.286 2.286
Mo 2.286 0.000 2.286
Mo 2.286 2.286 0.000
```

Properties
Offset from the most stable computed form ... 30.84 kcal/mol of atoms
E_tot ... -36.7 eV/cell
Total magnetic moment ... 0.38 μB/atom
E_form ... 1593 meV/atom
Space group ... Pm-3m, No. 221